[1]
Ca2Au2Se: single point on PBEsol structure, meta-GGA SCAN.

Structure (POSCAR):
```
Ca2Au2Se
1.0
3.778 0.000 0.000
0.000 3.778 0.000
-1.889 -1.889 8.177
Ca Se Au
2 1 2
Direct
0.396 0.396 0.791
0.604 0.604 0.209
0.000 0.000 0.000
0.750 0.250 0.500
0.250 0.750 0.500
```

Values from the calculation:
SG: No. 139
Energy relative to the elements, uncorrected (eV/atom): -1.1860

[2]
CaAu4Se: single point on PBEsol structure, meta-GGA SCAN.

Structure (POSCAR):
```
CaAu4Se
1.0
-3.390 -0.058 4.333
-0.560 -4.582 2.993
2.056 -0.224 5.098
Au Se Ca
4 1 1
Direct
0.375 0.875 0.375
0.875 0.375 0.375
0.375 0.375 0.875
0.375 0.375 0.375
0.000 0.000 0.000
0.750 0.750 0.750
```

Values from the calculation:
SG: No. 216
Energy relative to the elements, uncorrected (eV/atom): -0.5183

[3]
CaSiAu: single point on PBEsol structure, meta-GGA SCAN.

Structure (POSCAR):
```
CaSiAu
1.0
-3.870 -1.794 -1.076
-2.854 -1.901 4.439
-4.274 3.616 0.348
Ca Si Au
2 2 2
Direct
0.732 0.768 0.768
0.810 0.190 0.190
0.439 0.742 0.380
0.439 0.380 0.742
0.108 0.173 0.610
0.108 0.610 0.173
```

Values from the calculation:
SG: No. 44
Energy relative to the elements, uncorrected (eV/atom): -0.8272

[4]
CaSiAu: single point on PBEsol structure, meta-GGA SCAN.

Structure (POSCAR):
```
CaSiAu
1.0
-0.691 -3.636 0.144
1.823 -0.190 3.943
-4.257 0.793 -0.391
Au Ca Si
1 1 1
Direct
0.500 0.000 0.000
0.000 0.667 0.333
0.500 0.333 0.667
```

Values from the calculation:
SG: No. 187
Energy relative to the elements, uncorrected (eV/atom): -0.7855

[5]
CaSiAu: single point on PBEsol structure, meta-GGA SCAN.

Structure (POSCAR):
```
CaSiAu
1.0
4.656 0.000 0.000
2.328 4.032 0.000
2.328 1.344 3.802
Si Ca Au
1 1 1
Direct
0.000 0.000 0.000
0.750 0.750 0.750
0.500 0.500 0.500
```

Values from the calculation:
SG: No. 216
Energy relative to the elements, uncorrected (eV/atom): 0.2028

[6]
CaSi2Au2: single point on PBEsol structure, meta-GGA SCAN.

Structure (POSCAR):
```
CaSi2Au2
1.0
-1.295 -4.021 0.798
2.699 -0.206 3.341
-4.285 3.863 0.934
Ca Si Au
1 2 2
Direct
0.000 0.000 0.000
0.616 0.616 0.231
0.384 0.384 0.769
0.250 0.750 0.500
0.750 0.250 0.500
```

Values from the calculation:
SG: No. 139
Energy relative to the elements, uncorrected (eV/atom): -0.6058

[7]
CaSnAu: single point on PBEsol structure, meta-GGA SCAN.

Structure (POSCAR):
```
CaSnAu
1.0
-4.234 -1.937 -0.415
0.303 -2.161 6.996
-3.419 6.981 2.304
Ca Sn Au
4 4 4
Direct
0.750 0.994 0.704
0.250 0.506 0.204
0.250 0.006 0.296
0.750 0.494 0.796
0.750 0.310 0.413
0.250 0.190 0.913
0.750 0.810 0.087
0.250 0.690 0.587
0.750 0.206 0.087
0.250 0.794 0.913
0.250 0.294 0.587
0.750 0.706 0.413
```

Values from the calculation:
SG: No. 62
Electronic total energy (eV per cell): -469.950

[8]
CaSnAu: single point on PBEsol structure, meta-GGA SCAN.

Structure (POSCAR):
```
CaSnAu
1.0
-4.279 0.400 1.926
-0.345 -2.288 5.465
-0.527 4.677 3.615
Au Ca Sn
2 2 2
Direct
0.683 0.539 0.096
0.683 0.096 0.539
0.317 0.683 0.683
0.377 0.123 0.123
0.013 0.279 0.696
0.013 0.696 0.279
```

Values from the calculation:
SG: No. 44
Electronic total energy (eV per cell): -234.919

[9]
CaSn2Au: single point on PBEsol structure, meta-GGA SCAN.

Structure (POSCAR):
```
CaSn2Au
1.0
-4.120 -2.957 0.307
-0.587 -3.882 -3.225
0.422 -4.779 1.673
Ca Au Sn
1 1 2
Direct
0.000 0.000 0.000
0.500 0.500 0.500
0.250 0.250 0.250
0.750 0.750 0.750
```

Values from the calculation:
SG: No. 225
Electronic total energy (eV per cell): -151.710

[10]
SrCa2Au: single point on PBEsol structure, meta-GGA SCAN.

Structure (POSCAR):
```
SrCa2Au
1.0
-0.066 -3.610 0.860
3.620 -0.252 -0.780
2.112 2.132 9.119
Sr Ca Au
1 2 1
Direct
0.500 0.500 0.000
0.000 0.000 0.326
0.000 0.000 0.674
0.500 0.500 0.500
```

Values from the calculation:
SG: No. 123
Electronic total energy (eV per cell): -112.694

[11]
SrCa2Au: single point on PBEsol structure, meta-GGA SCAN.

Structure (POSCAR):
```
SrCa2Au
1.0
-1.151 1.909 -3.045
-4.997 -2.842 0.107
0.680 4.812 5.098
Ca Sr Au
2 1 1
Direct
0.313 0.313 0.625
0.687 0.687 0.375
0.500 0.000 0.000
0.000 0.500 0.000
```

Values from the calculation:
SG: No. 71
Electronic total energy (eV per cell): -112.700

[12]
SrCa2Au: single point on PBEsol structure, meta-GGA SCAN.

Structure (POSCAR):
```
SrCa2Au
1.0
3.748 0.000 0.000
0.000 3.748 0.000
0.000 0.000 9.471
Sr Au Ca
1 1 2
Direct
0.500 0.500 0.566
0.000 0.000 0.766
0.000 0.000 0.235
0.500 0.500 0.933
```

Values from the calculation:
SG: No. 99
Electronic total energy (eV per cell): -112.701